{
  "formula": "La6SmDy2Y",
  "functional": "PBE",
  "state": "relaxed",
  "lattice_angstrom": [[5.696, -3.596, 0.000], [5.696, 3.596, 0.000], [-2.189, 0.000, 8.755]],
  "species": ["La", "La", "La", "La", "La", "La", "Sm", "Dy", "Dy", "Y"],
  "frac_coords": [[0.096, 0.539, 0.198], [0.133, 0.133, 0.430], [0.461, 0.904, 0.802], [0.539, 0.096, 0.198], [0.867, 0.867, 0.570], [0.904, 0.461, 0.802], [0.000, 0.000, 0.000], [0.412, 0.412, 0.835], [0.588, 0.588, 0.165], [0.500, 0.500, 0.500]],
  "spacegroup": "No. 12",
  "crystal_system": "monoclinic",
  "magmom_total_mub_per_cell": 0.000,
  "e_form_ev_per_atom": 0.191
}